{
  "formula": "Pm2Er4TmSc",
  "functional": "PBE",
  "state": "relaxed",
  "cell": [[4.978, 0.000, 0.000], [0.000, 4.978, 0.000], [0.000, 0.000, 9.877]],
  "species": ["Pm", "Pm", "Er", "Er", "Er", "Er", "Tm", "Sc"],
  "frac_coords": [[0.000, 0.000, 0.000], [0.500, 0.500, 0.500], [0.000, 0.500, 0.246], [0.000, 0.500, 0.754], [0.500, 0.000, 0.246], [0.500, 0.000, 0.754], [0.000, 0.000, 0.500], [0.500, 0.500, 0.000]],
  "crystal_system": "tetragonal",
  "ef_ev_per_atom": 0.04,
  "n_ef_per_ev_atom": 1.465
}